Here is a relaxed structure of Ni3RhF8 from Alexandria via LeMat-Bulk. Energies are from GGA+U.

Unit cell a=5.383 b=5.383 c=6.230 alpha=90.00 beta=90.00 gamma=118.15
Fractional positions:
Ni  0.000  0.000  0.000
Ni  0.000  0.500  0.761
Ni  0.500  0.000  0.239
Rh  0.000  0.000  0.500
F  0.220  0.780  0.000
F  0.221  0.286  0.771
F  0.221  0.779  0.500
F  0.286  0.221  0.229
F  0.714  0.779  0.229
F  0.779  0.221  0.500
F  0.779  0.714  0.771
F  0.780  0.220  0.000

symmetry	No. 21
V	13.27	Å³/atom
E	-4.29	eV per atom